# MnZnAuF6, optimized geometry, DFT PBE+U
# total energy = -4.46 eV/atom
# density = 5.63 g/cm3
# DOS(E_F) = 0.39 states/eV per atom
data_MnZnAuF6
_cell_length_a 5.4662
_cell_length_b 5.4662
_cell_length_c 9.8299
_cell_angle_alpha 90.00
_cell_angle_beta 90.00
_cell_angle_gamma 120.00
_space_group_name_H-M_alt 'P -3 1 c'
_space_group_IT_number 163
_space_group_name_Hall '-P 3 2c'
loop_
_atom_site_label
_atom_site_type_symbol
_atom_site_fract_x
_atom_site_fract_y
_atom_site_fract_z
Mn1 Mn 0.3333 0.6667 0.2500
Zn1 Zn 0.3333 0.6667 0.7500
Au1 Au 0.0000 0.0000 0.0000
F1 F 0.9996 0.3545 0.1390